Arrangement i

The following is a PBE-GGA calculation of a relaxed structure of FeS2Br, from Alexandria via LeMat-Bulk.

Unit cell a=12.8288 b=12.8288 c=12.8288 alpha=12.65 beta=12.65 gamma=12.65
Last column: nearest neighbours and their distance in Å.
Fractional coordinates of all 4 atoms:
S  0.9440  0.9440  0.9440  1 Fe 2.14
S  0.0560  0.0560  0.0560  1 Fe 2.14
Fe  0.0000  0.0000  0.0000  2 S 2.14
Br  0.5000  0.5000  0.5000  6 Br 2.83

Arrangement ii

The following is a PBE-GGA calculation of a relaxed structure of FeS2Br, from Alexandria via LeMat-Bulk.

Unit cell a=6.1270 b=6.1270 c=6.3340 alpha=61.08 beta=61.08 gamma=90.00
Last column: nearest neighbours and their distance in Å.
Fractional coordinates of all 8 atoms:
S  0.5060  0.1250  0.2500  2 Fe 2.08
S  0.2440  0.6250  0.2500  2 Fe 2.08
S  0.3750  0.4940  0.7500  2 Fe 2.08
S  0.8750  0.7560  0.7500  2 Fe 2.08
Fe  0.5000  0.5000  0.0000  4 S 2.08
Fe  0.2500  0.7500  0.5000  4 S 2.08
Br  0.0000  0.0000  0.0000  4 S 2.97
Br  0.7500  0.2500  0.5000  4 S 2.97

Most stable one: arrangement ii, least stable one: arrangement i.

Arrangement i

The following is a PBE-GGA calculation of a relaxed structure of Fe2SBr, from Alexandria via LeMat-Bulk.

Unit cell a=5.2108 b=5.2108 c=6.3688 alpha=65.85 beta=65.85 gamma=90.00
Last column: nearest neighbours and their distance in Å.
Fractional coordinates of all 8 atoms:
S  0.5000  0.5000  0.0000  4 Fe 2.12
S  0.2500  0.7500  0.5000  4 Fe 2.12
Fe  0.5784  0.1250  0.2500  2 S 2.12
Fe  0.1716  0.6250  0.2500  2 S 2.12
Fe  0.3750  0.4216  0.7500  2 S 2.12
Fe  0.8750  0.8284  0.7500  2 S 2.12
Br  0.0000  0.0000  0.0000  4 Fe 2.40
Br  0.7500  0.2500  0.5000  4 Fe 2.40

Arrangement ii

The following is a PBE-GGA calculation of a relaxed structure of Fe2SBr, from Alexandria via LeMat-Bulk.

Unit cell a=4.2047 b=4.2047 c=4.2047 alpha=60.00 beta=60.00 gamma=60.00
Last column: nearest neighbours and their distance in Å.
Fractional coordinates of all 4 atoms:
S  0.0000  0.0000  0.0000  8 Fe 2.57
Fe  0.2500  0.2500  0.2500  4 S 2.57, 4 Br 2.57
Fe  0.7500  0.7500  0.7500  4 Br 2.57, 4 S 2.57
Br  0.5000  0.5000  0.5000  8 Fe 2.57

Most stable one: arrangement i, least stable one: arrangement ii.

Arrangement i

The following is a PBE-GGA calculation of a relaxed structure of FeSe2SBr, from Alexandria via LeMat-Bulk.

Unit cell a=4.6126 b=4.6126 c=4.8659 alpha=90.00 beta=90.00 gamma=90.00
Last column: nearest neighbours and their distance in Å.
Fractional coordinates of all 5 atoms:
S  0.5000  0.5000  0.5000  4 Br 3.26, 8 Se 3.35
Se  0.0000  0.5000  0.0000  2 Fe 2.31
Se  0.5000  0.0000  0.0000  2 Fe 2.31
Br  0.0000  0.0000  0.5000  2 Fe 2.43
Fe  0.0000  0.0000  0.0000  4 Se 2.31, 2 Br 2.43

Arrangement ii

The following is a PBE-GGA calculation of a relaxed structure of FeSe2SBr, from Alexandria via LeMat-Bulk.

Unit cell a=4.8768 b=4.8768 c=5.0061 alpha=90.00 beta=90.00 gamma=90.00
Last column: nearest neighbours and their distance in Å.
Fractional coordinates of all 5 atoms:
S  0.0000  0.0000  0.0000  4 Se 2.44, 2 Br 2.50
Se  0.0000  0.5000  0.0000  2 S 2.44
Se  0.5000  0.0000  0.0000  2 S 2.44
Br  0.0000  0.0000  0.5000  2 S 2.50
Fe  0.5000  0.5000  0.5000  4 Br 3.45, 8 Se 3.49

Most stable one: arrangement i, least stable one: arrangement ii.

Arrangement i

The following is a PBE-GGA calculation of a relaxed structure of FeSeSBr2, from Alexandria via LeMat-Bulk.

Unit cell a=5.0268 b=5.0268 c=5.0466 alpha=90.00 beta=90.00 gamma=90.00
Last column: nearest neighbours and their distance in Å.
Fractional coordinates of all 5 atoms:
S  0.0000  0.0000  0.0000  4 Br 2.51, 2 Se 2.52
Se  0.0000  0.0000  0.5000  2 S 2.52
Br  0.0000  0.5000  0.0000  2 S 2.51
Br  0.5000  0.0000  0.0000  2 S 2.51
Fe  0.5000  0.5000  0.5000  4 Se 3.55, 8 Br 3.56

Arrangement ii

The following is a PBE-GGA calculation of a relaxed structure of FeSeSBr2, from Alexandria via LeMat-Bulk.

Unit cell a=4.8555 b=4.8555 c=4.5765 alpha=90.00 beta=90.00 gamma=90.00
Last column: nearest neighbours and their distance in Å.
Fractional coordinates of all 5 atoms:
S  0.5000  0.5000  0.5000  8 Br 3.34, 4 Se 3.43
Se  0.0000  0.0000  0.5000  2 Fe 2.29
Br  0.0000  0.5000  0.0000  2 Fe 2.43
Br  0.5000  0.0000  0.0000  2 Fe 2.43
Fe  0.0000  0.0000  0.0000  2 Se 2.29, 4 Br 2.43

Most stable one: arrangement ii, least stable one: arrangement i.

Arrangement i

The following is a PBE-GGA calculation of a relaxed structure of Fe2SbBr2, from Alexandria via LeMat-Bulk.

Unit cell a=7.6297 b=7.6297 c=3.5795 alpha=90.00 beta=90.00 gamma=90.00
Last column: nearest neighbours and their distance in Å.
Fractional coordinates of all 10 atoms:
Sb  0.0000  0.0000  0.0000  4 Fe 3.08, 8 Br 3.41
Sb  0.5000  0.5000  0.0000  4 Fe 3.08, 8 Br 3.41
Fe  0.3879  0.8879  0.0000  1 Fe 2.42, 4 Br 2.70
Fe  0.8879  0.6121  0.0000  1 Fe 2.42, 4 Br 2.70
Fe  0.6121  0.1121  0.0000  1 Fe 2.42, 4 Br 2.70
Fe  0.1121  0.3879  0.0000  1 Fe 2.42, 4 Br 2.70
Br  0.1495  0.6495  0.5000  4 Fe 2.70
Br  0.6495  0.8505  0.5000  4 Fe 2.70
Br  0.8505  0.3505  0.5000  4 Fe 2.70
Br  0.3505  0.1495  0.5000  4 Fe 2.70

Arrangement ii

The following is a PBE-GGA calculation of a relaxed structure of Fe2SbBr2, from Alexandria via LeMat-Bulk.

Unit cell a=4.2125 b=4.2125 c=6.0543 alpha=69.64 beta=69.64 gamma=90.00
Last column: nearest neighbours and their distance in Å.
Fractional coordinates of all 5 atoms:
Sb  0.0000  0.0000  0.0000  8 Fe 3.17, 8 Br 3.37
Fe  0.3969  0.3969  0.2061  1 Fe 2.17
Fe  0.6031  0.6031  0.7939  1 Fe 2.17
Br  0.7500  0.2500  0.5000  4 Fe 2.61
Br  0.2500  0.7500  0.5000  4 Fe 2.61

Most stable one: arrangement i, least stable one: arrangement ii.

Arrangement i

The following is a PBE-GGA calculation of a relaxed structure of FeSbTe2Br, from Alexandria via LeMat-Bulk.

Unit cell a=5.5743 b=5.5743 c=5.5273 alpha=90.00 beta=90.00 gamma=90.00
Last column: nearest neighbours and their distance in Å.
Fractional coordinates of all 5 atoms:
Sb  0.0000  0.0000  0.5000  2 Br 2.76
Te  0.0000  0.5000  0.0000  2 Br 2.79
Te  0.5000  0.0000  0.0000  2 Br 2.79
Fe  0.5000  0.5000  0.5000  8 Te 3.93, 4 Sb 3.94
Br  0.0000  0.0000  0.0000  2 Sb 2.76, 4 Te 2.79

Arrangement ii

The following is a PBE-GGA calculation of a relaxed structure of FeSbTe2Br, from Alexandria via LeMat-Bulk.

Unit cell a=5.0565 b=5.0565 c=5.2818 alpha=90.00 beta=90.00 gamma=90.00
Last column: nearest neighbours and their distance in Å.
Fractional coordinates of all 5 atoms:
Sb  0.0000  0.0000  0.5000  2 Fe 2.64
Te  0.0000  0.5000  0.0000  2 Fe 2.53
Te  0.5000  0.0000  0.0000  2 Fe 2.53
Fe  0.0000  0.0000  0.0000  4 Te 2.53, 2 Sb 2.64
Br  0.5000  0.5000  0.5000  4 Sb 3.58, 8 Te 3.66

Most stable one: arrangement ii, least stable one: arrangement i.

Arrangement i

The following is a PBE-GGA calculation of a relaxed structure of Sc3FeBr, from Alexandria via LeMat-Bulk.

Unit cell a=4.9217 b=4.9217 c=4.9217 alpha=90.00 beta=90.00 gamma=90.00
Last column: nearest neighbours and their distance in Å.
Fractional coordinates of all 5 atoms:
Sc  0.0000  0.5000  0.0000  2 Br 2.46
Sc  0.0000  0.0000  0.5000  2 Br 2.46
Sc  0.5000  0.0000  0.0000  2 Br 2.46
Fe  0.5000  0.5000  0.5000  12 Sc 3.48
Br  0.0000  0.0000  0.0000  6 Sc 2.46

Arrangement ii

The following is a PBE-GGA calculation of a relaxed structure of Sc3FeBr, from Alexandria via LeMat-Bulk.

Unit cell a=4.8990 b=4.8990 c=4.8990 alpha=90.00 beta=90.00 gamma=90.00
Last column: nearest neighbours and their distance in Å.
Fractional coordinates of all 5 atoms:
Sc  0.0000  0.5000  0.0000  2 Fe 2.45
Sc  0.0000  0.0000  0.5000  2 Fe 2.45
Sc  0.5000  0.0000  0.0000  2 Fe 2.45
Fe  0.0000  0.0000  0.0000  6 Sc 2.45
Br  0.5000  0.5000  0.5000  12 Sc 3.46

Most stable one: arrangement ii, least stable one: arrangement i.

Arrangement i

The following is a PBE-GGA calculation of a relaxed structure of ScFeBr3, from Alexandria via LeMat-Bulk.

Unit cell a=4.8446 b=4.8446 c=4.8446 alpha=90.00 beta=90.00 gamma=90.00
Last column: nearest neighbours and their distance in Å.
Fractional coordinates of all 5 atoms:
Sc  0.5000  0.5000  0.5000  12 Br 3.43
Fe  0.0000  0.0000  0.0000  6 Br 2.42
Br  0.0000  0.5000  0.0000  2 Fe 2.42
Br  0.0000  0.0000  0.5000  2 Fe 2.42
Br  0.5000  0.0000  0.0000  2 Fe 2.42

Arrangement ii

The following is a PBE-GGA calculation of a relaxed structure of ScFeBr3, from Alexandria via LeMat-Bulk.

Unit cell a=5.3373 b=5.3373 c=5.3373 alpha=90.00 beta=90.00 gamma=90.00
Last column: nearest neighbours and their distance in Å.
Fractional coordinates of all 5 atoms:
Sc  0.0000  0.0000  0.0000  6 Br 2.67
Fe  0.5000  0.5000  0.5000  12 Br 3.77
Br  0.0000  0.5000  0.0000  2 Sc 2.67
Br  0.0000  0.0000  0.5000  2 Sc 2.67
Br  0.5000  0.0000  0.0000  2 Sc 2.67

Most stable one: arrangement ii, least stable one: arrangement i.

Arrangement i

The following is a PBE-GGA calculation of a relaxed structure of FeSe2Br, from Alexandria via LeMat-Bulk.

Unit cell a=7.3724 b=7.3724 c=7.3724 alpha=153.06 beta=142.43 gamma=46.84
Last column: nearest neighbours and their distance in Å.
Fractional coordinates of all 4 atoms:
Br  0.4000  0.4000  0.0000  2 Fe 2.51
Fe  0.2645  0.7645  0.5000  2 Se 2.49, 2 Br 2.51
Se  0.1307  0.1307  0.0000  2 Fe 2.49, 2 Se 2.58
Se  0.7048  0.2048  0.5000  2 Se 2.58

Arrangement ii

The following is a PBE-GGA calculation of a relaxed structure of FeSe2Br, from Alexandria via LeMat-Bulk.

Unit cell a=6.4324 b=6.4324 c=6.6466 alpha=61.06 beta=61.06 gamma=90.00
Last column: nearest neighbours and their distance in Å.
Fractional coordinates of all 8 atoms:
Se  0.5173  0.1250  0.2500  2 Fe 2.21
Se  0.2327  0.6250  0.2500  2 Fe 2.21
Se  0.3750  0.4827  0.7500  2 Fe 2.21
Se  0.8750  0.7673  0.7500  2 Fe 2.21
Br  0.0000  0.0000  0.0000  4 Se 3.06
Br  0.7500  0.2500  0.5000  4 Se 3.06
Fe  0.5000  0.5000  0.0000  4 Se 2.21
Fe  0.2500  0.7500  0.5000  4 Se 2.21

Most stable one: arrangement i, least stable one: arrangement ii.

Arrangement i

The following is a PBE-GGA calculation of a relaxed structure of TaFeSe2Br, from Alexandria via LeMat-Bulk.

Unit cell a=4.6276 b=4.6276 c=4.5961 alpha=90.00 beta=90.00 gamma=90.00
Last column: nearest neighbours and their distance in Å.
Fractional coordinates of all 5 atoms:
Fe  0.0000  0.0000  0.0000  2 Br 2.30, 4 Se 2.31
Se  0.0000  0.5000  0.0000  2 Fe 2.31
Se  0.5000  0.0000  0.0000  2 Fe 2.31
Br  0.0000  0.0000  0.5000  2 Fe 2.30
Ta  0.5000  0.5000  0.5000  8 Se 3.26, 4 Br 3.27

Arrangement ii

The following is a PBE-GGA calculation of a relaxed structure of TaFeSe2Br, from Alexandria via LeMat-Bulk.

Unit cell a=5.0482 b=5.0482 c=5.1322 alpha=90.00 beta=90.00 gamma=90.00
Last column: nearest neighbours and their distance in Å.
Fractional coordinates of all 5 atoms:
Fe  0.5000  0.5000  0.5000  4 Br 3.57, 8 Se 3.60
Se  0.0000  0.5000  0.0000  2 Ta 2.52
Se  0.5000  0.0000  0.0000  2 Ta 2.52
Br  0.0000  0.0000  0.5000  2 Ta 2.57
Ta  0.0000  0.0000  0.0000  4 Se 2.52, 2 Br 2.57

Most stable one: arrangement ii, least stable one: arrangement i.

Arrangement i

The following is a PBE-GGA calculation of a relaxed structure of FeWSe2Br, from Alexandria via LeMat-Bulk.

Unit cell a=4.8931 b=4.8931 c=5.3017 alpha=90.00 beta=90.00 gamma=90.00
Last column: nearest neighbours and their distance in Å.
Fractional coordinates of all 5 atoms:
Se  0.0000  0.5000  0.0000  2 W 2.45
Se  0.5000  0.0000  0.0000  2 W 2.45
Br  0.0000  0.0000  0.5000  2 W 2.65
W  0.0000  0.0000  0.0000  4 Se 2.45, 2 Br 2.65
Fe  0.5000  0.5000  0.5000  4 Br 3.46, 8 Se 3.61

Arrangement ii

The following is a PBE-GGA calculation of a relaxed structure of FeWSe2Br, from Alexandria via LeMat-Bulk.

Unit cell a=4.8081 b=4.8081 c=4.7158 alpha=90.00 beta=90.00 gamma=90.00
Last column: nearest neighbours and their distance in Å.
Fractional coordinates of all 5 atoms:
Se  0.0000  0.5000  0.0000  2 Fe 2.40
Se  0.5000  0.0000  0.0000  2 Fe 2.40
Br  0.0000  0.0000  0.5000  2 Fe 2.36
W  0.5000  0.5000  0.5000  8 Se 3.37, 4 Br 3.40
Fe  0.0000  0.0000  0.0000  2 Br 2.36, 4 Se 2.40

Most stable one: arrangement i, least stable one: arrangement ii.

Arrangement i

The following is a PBE-GGA calculation of a relaxed structure of YFeSe2Br, from Alexandria via LeMat-Bulk.

Unit cell a=5.4901 b=5.4901 c=5.4271 alpha=90.00 beta=90.00 gamma=90.00
Last column: nearest neighbours and their distance in Å.
Fractional coordinates of all 5 atoms:
Y  0.0000  0.0000  0.0000  2 Br 2.71, 4 Se 2.75
Se  0.0000  0.5000  0.0000  2 Y 2.75
Se  0.5000  0.0000  0.0000  2 Y 2.75
Br  0.0000  0.0000  0.5000  2 Y 2.71
Fe  0.5000  0.5000  0.5000  8 Se 3.86, 4 Br 3.88

Arrangement ii

The following is a PBE-GGA calculation of a relaxed structure of YFeSe2Br, from Alexandria via LeMat-Bulk.

Unit cell a=4.8882 b=4.8882 c=4.7663 alpha=90.00 beta=90.00 gamma=90.00
Last column: nearest neighbours and their distance in Å.
Fractional coordinates of all 5 atoms:
Y  0.5000  0.5000  0.5000  8 Se 3.41, 4 Br 3.46
Se  0.0000  0.5000  0.0000  2 Fe 2.44
Se  0.5000  0.0000  0.0000  2 Fe 2.44
Br  0.0000  0.0000  0.5000  2 Fe 2.38
Fe  0.0000  0.0000  0.0000  2 Br 2.38, 4 Se 2.44

Most stable one: arrangement ii, least stable one: arrangement i.

Arrangement i

The following is a PBE-GGA calculation of a relaxed structure of ZrFeSe2Br, from Alexandria via LeMat-Bulk.

Unit cell a=5.2308 b=5.2308 c=5.2929 alpha=90.00 beta=90.00 gamma=90.00
Last column: nearest neighbours and their distance in Å.
Fractional coordinates of all 5 atoms:
Se  0.0000  0.5000  0.0000  2 Zr 2.62
Se  0.5000  0.0000  0.0000  2 Zr 2.62
Br  0.0000  0.0000  0.5000  2 Zr 2.65
Zr  0.0000  0.0000  0.0000  4 Se 2.62, 2 Br 2.65
Fe  0.5000  0.5000  0.5000  4 Br 3.70, 8 Se 3.72

Arrangement ii

The following is a PBE-GGA calculation of a relaxed structure of ZrFeSe2Br, from Alexandria via LeMat-Bulk.

Unit cell a=4.6963 b=4.6963 c=4.6380 alpha=90.00 beta=90.00 gamma=90.00
Last column: nearest neighbours and their distance in Å.
Fractional coordinates of all 5 atoms:
Se  0.0000  0.5000  0.0000  2 Fe 2.35
Se  0.5000  0.0000  0.0000  2 Fe 2.35
Br  0.0000  0.0000  0.5000  2 Fe 2.32
Zr  0.5000  0.5000  0.5000  8 Se 3.30, 4 Br 3.32
Fe  0.0000  0.0000  0.0000  2 Br 2.32, 4 Se 2.35

Most stable one: arrangement i, least stable one: arrangement ii.